1.
# AlSiAg

Crystalline AlSiAg at its relaxed geometry (PBE, the Alexandria database).

Unit cell a=6.466 b=5.365 c=6.041 alpha=90.00 beta=90.00 gamma=90.00
Space group Pnma (No. 62)
Asymmetric unit:
1 Al 0.000 0.000 0.000 [4 per cell]
2 Si 0.183 0.250 0.323 [4 per cell]
3 Ag 0.129 0.750 0.388 [4 per cell]

Computed properties:
V   209.6 Å³ per cell
Raw formation energy   0.7 eV/f.u.
Crystal system   orthorhombic

2.
# AlSi2Ag

Crystalline AlSi2Ag at its relaxed geometry (PBE, the Alexandria database).

Unit cell a=3.0258 b=3.0258 c=24.5237 alpha=90.00 beta=90.00 gamma=120.00
Space group R3m (No. 160, hexagonal axes)
Asymmetric unit:
1 Al 0.0000 0.0000 0.0000 [3 per cell]
2 Si 0.0000 0.0000 0.4884 [3 per cell]
3 Si 0.0000 0.0000 0.7485 [3 per cell]
4 Ag 0.0000 0.0000 0.2453 [3 per cell]

Computed properties:
V   194.4 Å³ per cell
Raw formation energy   0.9 eV/f.u.
Crystal system   trigonal

3.
# Al2SiAg

Crystalline Al2SiAg at its relaxed geometry (PBE, the Alexandria database).

Unit cell a=2.8172 b=2.8172 c=28.9017 alpha=90.00 beta=90.00 gamma=120.00
Space group R3m (No. 160, hexagonal axes)
Asymmetric unit:
1 Al 0.0000 0.0000 0.0000 [3 per cell]
2 Al 0.0000 0.0000 0.2515 [3 per cell]
3 Si 0.0000 0.0000 0.7525 [3 per cell]
4 Ag 0.0000 0.0000 0.5036 [3 per cell]

Computed properties:
V   198.7 Å³ per cell
Raw formation energy   0.6 eV/f.u.
Crystal system   trigonal

4.
# Al2SiAg

Crystalline Al2SiAg at its relaxed geometry (PBE, the Alexandria database).

Unit cell a=2.873 b=4.917 c=9.516 alpha=90.00 beta=90.00 gamma=90.00
Space group Cmm2 (No. 35)
Asymmetric unit:
1 Al 0.000 0.000 0.000 [2 per cell]
2 Al 0.000 0.500 0.253 [2 per cell]
3 Si 0.000 0.000 0.496 [2 per cell]
4 Ag 0.000 0.500 0.749 [2 per cell]

Computed properties:
V   134.4 Å³ per cell
Raw formation energy   0.8 eV/f.u.
Crystal system   orthorhombic